(i)
# CaZnP2O | Alexandria | meta-GGA SCAN | single point on PBEsol structure
data_CaZnP2O
_cell_length_a 4.9391
_cell_length_b 4.9391
_cell_length_c 3.6325
_cell_angle_alpha 90.00
_cell_angle_beta 90.00
_cell_angle_gamma 90.00
_space_group_name_H-M_alt 'P 4/m m m'
_space_group_IT_number 123
_space_group_name_Hall '-P 4 2'
loop_
_atom_site_label
_atom_site_type_symbol
_atom_site_fract_x
_atom_site_fract_y
_atom_site_fract_z
Ca1 Ca 0.0000 0.0000 0.0000
Zn1 Zn 0.5000 0.5000 0.5000
P1 P 0.0000 0.5000 0.5000
O1 O 0.5000 0.5000 0.0000
# - N(E_F): 0.79 states/eV per atom
# - Spin magnetization: 0.0 μB/cell

***

(ii)
# CaZnP2O | Alexandria | meta-GGA SCAN | single point on PBEsol structure
data_CaZnP2O
_cell_length_a 5.2321
_cell_length_b 5.2321
_cell_length_c 4.0546
_cell_angle_alpha 90.00
_cell_angle_beta 90.00
_cell_angle_gamma 90.00
_space_group_name_H-M_alt 'P 4/m m m'
_space_group_IT_number 123
_space_group_name_Hall '-P 4 2'
loop_
_atom_site_label
_atom_site_type_symbol
_atom_site_fract_x
_atom_site_fract_y
_atom_site_fract_z
Ca1 Ca 0.0000 0.0000 0.0000
Zn1 Zn 0.5000 0.5000 0.5000
P1 P 0.0000 0.5000 0.0000
O1 O 0.0000 0.0000 0.5000
# - N(E_F): 0.79 states/eV per atom
# - Spin magnetization: 2.0 μB/cell

***

Most stable structure: (i)

***

(i)
# Ca2Sn3O8 | Alexandria | meta-GGA SCAN | single point on PBEsol structure
data_Ca2Sn3O8
_cell_length_a 11.3384
_cell_length_b 6.3540
_cell_length_c 5.3444
_cell_angle_alpha 90.00
_cell_angle_beta 110.58
_cell_angle_gamma 90.00
_space_group_name_H-M_alt 'C 1 2/m 1'
_space_group_IT_number 12
loop_
_space_group_symop_operation_xyz
'x,y,z'
'-x,-y,-z'
'-x,y,-z'
'x,-y,z'
'x+1/2,y+1/2,z'
'-x+1/2,-y+1/2,-z'
'-x+1/2,y+1/2,-z'
'x+1/2,-y+1/2,z'
loop_
_atom_site_label
_atom_site_type_symbol
_atom_site_fract_x
_atom_site_fract_y
_atom_site_fract_z
Ca1 Ca 0.2196 0.0000 0.1539
Sn1 Sn 0.0000 0.2382 0.5000
Sn2 Sn 0.0000 0.5000 0.0000
O1 O 0.1026 0.5000 0.4145
O2 O 0.1090 0.0000 0.4405
O3 O 0.1104 0.2793 0.8980
# - N(E_F): 0.00 states/eV per atom
# - Spin magnetization: 0.0 μB/cell

***

(ii)
# Ca2Sn3O8 | Alexandria | meta-GGA SCAN | single point on PBEsol structure
data_Ca2Sn3O8
_cell_length_a 6.4055
_cell_length_b 6.4055
_cell_length_c 10.4021
_cell_angle_alpha 90.00
_cell_angle_beta 90.00
_cell_angle_gamma 120.00
_space_group_name_H-M_alt 'P 63 m c'
_space_group_IT_number 186
_space_group_name_Hall 'P 6c -2c'
loop_
_atom_site_label
_atom_site_type_symbol
_atom_site_fract_x
_atom_site_fract_y
_atom_site_fract_z
Ca1 Ca 0.3333 0.6667 0.0000
Ca2 Ca 0.3333 0.6667 0.3824
Sn1 Sn 0.1643 0.3285 0.6671
O1 O 0.0000 0.0000 0.0615
O2 O 0.0472 0.5236 0.5562
O3 O 0.1621 0.3242 0.2609
O4 O 0.3333 0.6667 0.7765
# - N(E_F): 0.00 states/eV per atom
# - Spin magnetization: 0.0 μB/cell

***

Most stable structure: (i)